The following is a GGA+U calculation of a relaxed V3P2O8 crystal, from the Alexandria database.

Unit cell a=8.831 b=11.433 c=6.405 alpha=90.00 beta=99.49 gamma=90.00
Space group P2_1/c (No. 14)
Unique sites:
V 0.076 0.117 0.127 [4 per cell]
V 0.282 0.090 0.662 [4 per cell]
V 0.354 0.690 0.620 [4 per cell]
P 0.088 0.632 0.887 [4 per cell]
P 0.400 0.089 0.191 [4 per cell]
O 0.066 0.195 0.596 [4 per cell]
O 0.071 0.567 0.669 [4 per cell]
O 0.139 0.557 0.082 [4 per cell]
O 0.213 0.727 0.868 [4 per cell]
O 0.277 0.074 0.987 [4 per cell]
O 0.301 0.135 0.352 [4 per cell]
O 0.478 0.531 0.755 [4 per cell]
O 0.479 0.683 0.343 [4 per cell]

Values from the calculation:
Spin magnetization, Bohr magnetons per cell: 36.00
Mass density, g/cm³: 3.6
Final energy, eV/atom: -7.64
Energy above the most stable polymorph in this dataset, kcal/mol of atoms: 1.19